one:
A relaxed structure of BaAuC3. Source: Alexandria, functional PBE.

Structure (POSCAR):
```
BaAuC3
1.0
4.757 0.000 0.000
0.000 4.757 0.000
0.000 0.000 4.757
Ba Au C
1 1 3
Direct
0.000 0.000 0.000
0.500 0.500 0.500
0.000 0.000 0.500
0.000 0.500 0.000
0.500 0.000 0.000
```

**V**: 21.5 Å³ per atom
**Total moment**: 0.00 Bohr magnetons per cell
**DOS at the Fermi energy**: 5.64 states/eV per cell

two:
A relaxed structure of BaAuC3. Source: Alexandria, functional PBE.

Structure (POSCAR):
```
BaAuC3
1.0
4.410 0.000 0.000
0.000 4.410 0.000
0.000 0.000 4.410
Ba Au C
1 1 3
Direct
0.000 0.000 0.000
0.500 0.500 0.500
0.000 0.500 0.500
0.500 0.000 0.500
0.500 0.500 0.000
```

**V**: 17.2 Å³ per atom
**Total moment**: 4.84 Bohr magnetons per cell
**DOS at the Fermi energy**: 3.88 states/eV per cell

Taking the most stable structure as the zero point, the relative energies in kJ/mol of atoms are one 142.5; two 0.0.

one:
A relaxed structure of BaOsAu2C. Source: Alexandria, functional PBE.

Structure (POSCAR):
```
BaOsAu2C
1.0
4.971 0.000 0.000
0.000 4.971 0.000
0.000 0.000 6.329
Ba Os Au C
1 1 2 1
Direct
0.000 0.000 0.000
0.000 0.000 0.500
0.000 0.500 0.500
0.500 0.000 0.500
0.500 0.500 0.000
```

**V**: 31.3 Å³ per atom
**Total moment**: 2.41 Bohr magnetons per cell
**DOS at the Fermi energy**: 5.82 states/eV per cell

two:
A relaxed structure of BaOsAu2C. Source: Alexandria, functional PBE.

Structure (POSCAR):
```
BaOsAu2C
1.0
4.950 0.000 0.000
0.000 4.950 0.000
0.000 0.000 4.043
Ba Os Au C
1 1 2 1
Direct
0.000 0.000 0.000
0.500 0.500 0.000
0.000 0.500 0.500
0.500 0.000 0.500
0.500 0.500 0.500
```

**V**: 19.8 Å³ per atom
**Total moment**: 0.00 Bohr magnetons per cell
**DOS at the Fermi energy**: 3.22 states/eV per cell

Taking the most stable structure as the zero point, the relative energies in kJ/mol of atoms are one 115.7; two 0.0.

one:
A relaxed structure of Ba2CaAu. Source: Alexandria, functional PBE.

Structure (POSCAR):
```
Ba2CaAu
1.0
4.308 0.000 0.000
0.000 5.196 0.000
0.000 0.000 15.980
Ba Ca Au
4 2 2
Direct
0.000 0.000 0.000
0.000 0.500 0.500
0.500 0.000 0.327
0.500 0.500 0.827
0.000 0.000 0.680
0.000 0.500 0.180
0.500 0.000 0.542
0.500 0.500 0.042
```

**V**: 44.7 Å³ per atom
**Total moment**: 0.00 Bohr magnetons per cell
**DOS at the Fermi energy**: 8.19 states/eV per cell

two:
A relaxed structure of Ba2CaAu. Source: Alexandria, functional PBE.

Structure (POSCAR):
```
Ba2CaAu
1.0
11.589 0.000 0.000
0.000 11.589 0.000
0.000 0.000 5.973
Ba Ca Au
8 4 4
Direct
0.116 0.750 0.125
0.250 0.116 0.875
0.250 0.384 0.375
0.384 0.750 0.625
0.616 0.250 0.625
0.750 0.616 0.375
0.750 0.884 0.875
0.884 0.250 0.125
0.000 0.000 0.500
0.000 0.500 0.750
0.500 0.000 0.250
0.500 0.500 0.000
0.000 0.000 0.000
0.000 0.500 0.250
0.500 0.000 0.750
0.500 0.500 0.500
```

**V**: 50.1 Å³ per atom
**Total moment**: 0.01 Bohr magnetons per cell
**DOS at the Fermi energy**: 35.73 states/eV per cell

Taking the most stable structure as the zero point, the relative energies in kJ/mol of atoms are one 0.0; two 8.7.